[1]
Compound: AcSm2ErBi4
Source: Alexandria via LeMat-Bulk
Functional: PBE
Structure: relaxed

The calculated total energy is -5.09 eV per atom. Its density is 9.1 g/cm³. For the density of states at the Fermi level, the calculation gives 1.058 states/eV per cell. The total magnetization is 0.0 μB/f.u. Its calculated formation energy is -7.1 eV/f.u.

The space group is P2/m (No. 10) and the conventional cell measures 7.990, 4.622 and 8.006 Å, with angles of 90.00, 109.41 and 90.00 degrees. The distinct sites, in fractional coordinates, are Ac at (0.000, 0.000, 0.000), Sm at (0.000, 0.500, 0.500), Sm at (0.500, 0.000, 0.500), Er at (0.500, 0.500, 0.000), Bi at (0.261, 0.000, 0.749) and Bi at (0.265, 0.500, 0.259).

[2]
Compound: La5Sm4Ho4
Source: Alexandria via LeMat-Bulk
Functional: PBE
Structure: relaxed

The calculated total energy is -4.73 eV per atom. Its density is 7.3 g/cm³. For the density of states at the Fermi level, the calculation gives 43.042 states/eV per cell. The total magnetization is 0.0 μB/f.u. Its calculated formation energy is 0.3 eV/f.u.

The space group is I4/m (No. 87) and the conventional cell measures 13.170, 13.170 and 5.136 Å, with angles of 90.00, 90.00 and 90.00 degrees. The distinct sites, in fractional coordinates, are La at (0.000, 0.000, 0.000), La at (0.040, 0.193, 0.500), Sm at (0.076, 0.385, 0.000) and Ho at (0.155, 0.766, 0.000).

[3]
Compound: YBeCu3
Source: Alexandria via LeMat-Bulk
Functional: PBE
Structure: relaxed

The calculated total energy is -2.87 eV per atom. Its density is 3.6 g/cm³. For the density of states at the Fermi level, the calculation gives 2.193 states/eV per cell. The relative energy among the computed polymorphs is 1734 meV/atom. The total magnetization is 0.0 μB/f.u. Its calculated formation energy is 8.1 eV/f.u.

The space group is Pm-3m (No. 221) and the conventional cell measures 5.084, 5.084 and 5.084 Å, with angles of 90.00, 90.00 and 90.00 degrees. The distinct sites, in fractional coordinates, are Y at (0.000, 0.000, 0.000), Be at (0.500, 0.500, 0.500) and Cu at (0.000, 0.000, 0.500).

[4]
Compound: TiInSb2
Source: Alexandria via LeMat-Bulk
Functional: PBE
Structure: relaxed

The calculated total energy is -4.84 eV per atom. The uncorrected formation energy is -0.1171 eV/atom. Its density is 7.0 g/cm³. For the density of states at the Fermi level, the calculation gives 4.259 states/eV per cell. The total magnetization is 0.0 μB/f.u.

The space group is P4/mmm (No. 123) and the conventional cell measures 3.623, 3.623 and 7.357 Å, with angles of 90.00, 90.00 and 90.00 degrees. The distinct sites, in fractional coordinates, are Ti at (0.000, 0.000, 0.000), In at (0.000, 0.000, 0.500) and Sb at (0.500, 0.500, 0.203).

[5]
Compound: Ho3ScGa2
Source: Alexandria via LeMat-Bulk
Functional: PBE
Structure: relaxed

The calculated total energy is -4.74 eV per atom. Its density is 7.5 g/cm³. For the density of states at the Fermi level, the calculation gives 24.780 states/eV per cell. The total magnetization is 1.4 μB/f.u. Its calculated formation energy is -2.3 eV/f.u.

The space group is Ibam (No. 72) and the conventional cell measures 6.212, 15.577 and 6.199 Å, with angles of 90.00, 90.00 and 90.00 degrees. The distinct sites, in fractional coordinates, are Ho at (0.000, 0.000, 0.250), Ho at (0.243, 0.321, 0.000), Sc at (0.000, 0.500, 0.250) and Ga at (0.241, 0.370, 0.500).

[6]
Compound: InSnAu
Source: Alexandria via LeMat-Bulk
Functional: PBE
Structure: relaxed

The calculated total energy is -3.53 eV per atom. Its density is 9.4 g/cm³. For the density of states at the Fermi level, the calculation gives 2.790 states/eV per cell. The total magnetization is 0.0 μB/f.u. Its calculated formation energy is -0.6 eV/f.u.

The space group is P4_2/mmc (No. 131) and the conventional cell measures 4.750, 4.750 and 6.757 Å, with angles of 90.00, 90.00 and 90.00 degrees. The distinct sites, in fractional coordinates, are In at (0.000, 0.000, 0.250), Sn at (0.500, 0.500, 0.250) and Au at (0.000, 0.500, 0.000).

[7]
Compound: Pr2SmAl2
Source: Alexandria via LeMat-Bulk
Functional: PBE
Structure: relaxed

The calculated total energy is -4.65 eV per atom. Its density is 5.7 g/cm³. For the density of states at the Fermi level, the calculation gives 9.352 states/eV per cell. The relative energy among the computed polymorphs is 0 meV/atom. The total magnetization is 0.0 μB/f.u. Its calculated formation energy is -1.5 eV/f.u.

The space group is Immm (No. 71) and the conventional cell measures 5.009, 6.955 and 8.111 Å, with angles of 90.00, 90.00 and 90.00 degrees. The distinct sites, in fractional coordinates, are Pr at (0.000, 0.000, 0.198), Sm at (0.000, 0.500, 0.000) and Al at (0.000, 0.306, 0.500).

[8]
Compound: Rb3U4S12
Source: Alexandria via LeMat-Bulk
Functional: PBE
Structure: relaxed

The calculated total energy is -6.39 eV per atom. The uncorrected formation energy is -1.2570 eV/atom. Its density is 4.8 g/cm³. For the density of states at the Fermi level, the calculation gives 39.344 states/eV per cell. The total magnetization is 3.0 μB/f.u.

The space group is Im-3m (No. 229) and the conventional cell measures 10.365, 10.365 and 10.365 Å, with angles of 90.00, 90.00 and 90.00 degrees. The distinct sites, in fractional coordinates, are Rb at (0.000, 0.000, 0.500), U at (0.250, 0.250, 0.250) and S at (0.000, 0.251, 0.251).

[9]
Compound: TiGaSb2I
Source: Alexandria via LeMat-Bulk
Functional: PBE
Structure: relaxed

The calculated total energy is -4.05 eV per atom. The uncorrected formation energy is 0.0941 eV/atom. Its density is 4.9 g/cm³. For the density of states at the Fermi level, the calculation gives 2.641 states/eV per cell. The relative energy among the computed polymorphs is 0 meV/atom. The total magnetization is 0.0 μB/f.u.

The space group is P4/mmm (No. 123) and the conventional cell measures 5.212, 5.212 and 6.069 Å, with angles of 90.00, 90.00 and 90.00 degrees. The distinct sites, in fractional coordinates, are Ti at (0.000, 0.000, 0.000), Ga at (0.500, 0.500, 0.500), Sb at (0.000, 0.500, 0.000) and I at (0.000, 0.000, 0.500).

[10]
Compound: LaNdSb
Source: Alexandria via LeMat-Bulk
Functional: PBE
Structure: relaxed

The calculated total energy is -5.11 eV per atom. The uncorrected formation energy is -0.5053 eV/atom. Its density is 6.7 g/cm³. For the density of states at the Fermi level, the calculation gives 3.511 states/eV per cell. The total magnetization is 0.0 μB/f.u.

The space group is P3m1 (No. 156) and the conventional cell measures 5.1885, 5.1885 and 4.3000 Å, with angles of 90.00, 90.00 and 120.00 degrees. The distinct sites, in fractional coordinates, are La at (0.0000, 0.0000, 0.0000), Nd at (0.3333, 0.6667, 0.5293) and Sb at (0.6667, 0.3333, 0.3381).

[11]
Compound: Na7AlCd3
Source: Alexandria via LeMat-Bulk
Functional: PBE
Structure: relaxed

The calculated total energy is -1.35 eV per atom. Its density is 2.6 g/cm³. For the density of states at the Fermi level, the calculation gives 6.582 states/eV per cell. The total magnetization is 0.0 μB/f.u. Its calculated formation energy is 0.9 eV/f.u.

The space group is P3m1 (No. 156) and the conventional cell measures 7.0478, 7.0478 and 7.7668 Å, with angles of 90.00, 90.00 and 120.00 degrees. The distinct sites, in fractional coordinates, are Na at (0.0000, 0.0000, 0.0000), Na at (0.0087, 0.5044, 0.0432), Na at (0.3355, 0.1677, 0.4072), Al at (0.3333, 0.6667, 0.4032) and Cd at (0.1809, 0.3617, 0.7055).

[12]
Compound: CaEr2C
Source: Alexandria via LeMat-Bulk
Functional: PBE
Structure: relaxed

The calculated total energy is -5.22 eV per atom. Its density is 6.0 g/cm³. For the density of states at the Fermi level, the calculation gives 11.083 states/eV per cell. The relative energy among the computed polymorphs is 77 meV/atom. The total magnetization is 0.4 μB/f.u. Its calculated formation energy is -0.5 eV/f.u.

The space group is R-3m (No. 166, hexagonal axes) and the conventional cell measures 3.5695, 3.5695 and 28.9087 Å, with angles of 90.00, 90.00 and 120.00 degrees. The distinct sites, in fractional coordinates, are Ca at (0.0000, 0.0000, 0.0000), Er at (0.0000, 0.0000, 0.1210) and C at (0.0000, 0.0000, 0.5000).